# 1
{
  "formula": "LaPr5Ga3",
  "functional": "PBE",
  "state": "relaxed",
  "cell": [[9.2811, 0.0000, 0.0000], [-4.6406, 8.0377, 0.0000], [0.0000, 0.0000, 6.9210]],
  "species": ["La", "La", "Pr", "Pr", "Pr", "Pr", "Pr", "Pr", "Pr", "Pr", "Pr", "Pr", "Ga", "Ga", "Ga", "Ga", "Ga", "Ga"],
  "fractional_positions": [[0.0000, 0.0000, 0.0000], [0.0000, 0.0000, 0.5000], [0.0000, 0.3294, 0.2500], [0.0000, 0.6706, 0.7500], [0.3294, 0.0000, 0.2500], [0.3294, 0.3294, 0.7500], [0.3333, 0.6667, 0.0000], [0.3333, 0.6667, 0.5000], [0.6667, 0.3333, 0.0000], [0.6667, 0.3333, 0.5000], [0.6706, 0.0000, 0.7500], [0.6706, 0.6706, 0.2500], [0.0000, 0.3385, 0.7500], [0.0000, 0.6615, 0.2500], [0.3385, 0.0000, 0.7500], [0.3385, 0.3385, 0.2500], [0.6615, 0.0000, 0.2500], [0.6615, 0.6615, 0.7500]]
}

***

# 2
{
  "formula": "La3PrGa2",
  "functional": "PBE",
  "state": "relaxed",
  "e_above_lowest_polymorph_mev_per_atom": 50.9,
  "cell": [[9.0290, -2.3220, 0.0000], [9.0290, 2.3220, 0.0000], [-3.5683, 0.0000, 8.7352]],
  "species": ["La", "La", "La", "La", "La", "La", "Pr", "Pr", "Ga", "Ga", "Ga", "Ga"],
  "fractional_positions": [[0.0482, 0.0482, 0.1840], [0.3185, 0.3185, 0.5657], [0.3484, 0.3484, 0.0258], [0.6516, 0.6516, 0.9742], [0.6815, 0.6815, 0.4343], [0.9518, 0.9518, 0.8160], [0.1142, 0.1142, 0.6352], [0.8858, 0.8858, 0.3648], [0.2335, 0.2335, 0.2171], [0.4986, 0.4986, 0.3587], [0.5014, 0.5014, 0.6413], [0.7665, 0.7665, 0.7829]]
}

***

# 3
{
  "formula": "LaPrGa2",
  "functional": "PBE",
  "state": "relaxed",
  "e_above_lowest_polymorph_mev_per_atom": 0.0,
  "cell": [[4.2336, 0.0000, 0.0000], [0.0000, 2.2615, 5.7417], [0.0000, -2.2615, 5.7417]],
  "species": ["La", "Pr", "Ga", "Ga"],
  "fractional_positions": [[0.0000, 0.0000, 0.0000], [0.5000, 0.2823, 0.2823], [0.0000, 0.7126, 0.7126], [0.5000, 0.5752, 0.5752]]
}

***

# 4
{
  "formula": "La14PrGa",
  "functional": "PBE",
  "state": "relaxed",
  "cell": [[11.1421, 0.0000, 0.0000], [0.0000, 4.5678, 5.5495], [0.0000, -4.5678, 5.5495]],
  "species": ["La", "La", "La", "La", "La", "La", "La", "La", "La", "La", "La", "La", "La", "La", "Pr", "Ga"],
  "fractional_positions": [[0.0000, 0.0000, 0.0000], [0.0000, 0.4001, 0.4001], [0.0000, 0.4852, 0.9225], [0.0000, 0.9225, 0.4852], [0.2362, 0.7726, 0.7726], [0.2702, 0.2723, 0.6752], [0.2702, 0.6752, 0.2723], [0.2724, 0.2008, 0.2008], [0.5000, 0.4904, 0.9057], [0.5000, 0.9057, 0.4904], [0.7276, 0.2008, 0.2008], [0.7298, 0.2723, 0.6752], [0.7298, 0.6752, 0.2723], [0.7638, 0.7726, 0.7726], [0.5000, 0.9676, 0.9676], [0.5000, 0.4033, 0.4033]]
}

***

# 5
{
  "formula": "LaPrGa6",
  "functional": "PBE",
  "state": "relaxed",
  "cell": [[6.5547, 0.0000, 0.0000], [-3.2773, 5.6765, 0.0000], [0.0000, 0.0000, 4.6204]],
  "species": ["La", "Pr", "Ga", "Ga", "Ga", "Ga", "Ga", "Ga"],
  "fractional_positions": [[0.0000, 0.0000, 0.0000], [0.6667, 0.3333, 0.5000], [0.0502, 0.5251, 0.0000], [0.1926, 0.3851, 0.5000], [0.1926, 0.8074, 0.5000], [0.4749, 0.5251, 0.0000], [0.4749, 0.9498, 0.0000], [0.6149, 0.8074, 0.5000]]
}

***

# 6
{
  "formula": "La2Pr6Ga",
  "functional": "PBE",
  "state": "relaxed",
  "cell": [[6.7069, 0.0000, 0.0000], [0.0000, 8.2753, 0.0000], [-6.5318, 0.0000, 11.3316]],
  "species": ["La", "La", "La", "La", "Pr", "Pr", "Pr", "Pr", "Pr", "Pr", "Pr", "Pr", "Pr", "Pr", "Pr", "Pr", "Ga", "Ga"],
  "fractional_positions": [[0.0044, 0.0920, 0.2569], [0.0044, 0.4080, 0.7569], [0.9956, 0.5920, 0.2431], [0.9956, 0.9080, 0.7431], [0.1158, 0.6987, 0.0039], [0.1158, 0.8013, 0.5039], [0.3681, 0.1554, 0.0013], [0.3681, 0.3446, 0.5013], [0.4768, 0.0961, 0.7386], [0.4768, 0.4039, 0.2386], [0.5232, 0.5961, 0.7614], [0.5232, 0.9039, 0.2614], [0.6319, 0.6554, 0.4987], [0.6319, 0.8446, 0.9987], [0.8842, 0.1987, 0.4961], [0.8842, 0.3013, 0.9961], [0.5000, 0.0000, 0.5000], [0.5000, 0.5000, 0.0000]]
}

***

Energy relative to the elements, respectively: -0.35, -0.36, -0.59, -0.03, -0.59, -0.02 eV per atom.